[1]
The following is a DFT calculation (GGA-PBE) of crystalline RbSc2As at its relaxed geometry.

Its calculated formation energy is 48 kJ/mol of formula units. The calculation puts the magnetization at 0.6 μB/f.u. The value obtained for the density of states at the Fermi level is 4.19 states/eV/f.u.

It has space group I4_1/amd (No. 141, origin choice 2), with a = 6.2397 Å, b = 6.2397 Å, c = 17.1713 Å, α = 90.00°, β = 90.00° and γ = 90.00°. The distinct sites, in fractional coordinates, are Rb at (0.0000, 0.2500, 0.3750), Sc at (0.0000, 0.0000, 0.0000) and As at (0.0000, 0.2500, 0.8750).

=====

[2]
The following is a DFT calculation (GGA-PBE) of crystalline RbSc2As2 at its relaxed geometry.

Its calculated formation energy is -339 kJ/mol of formula units. The calculation puts the magnetization at 1.0 μB/f.u. The value obtained for the density of states at the Fermi level is 0.18 states/eV/f.u.

It has space group I4/mmm (No. 139), with a = 5.1934 Å, b = 5.1934 Å, c = 11.3649 Å, α = 90.00°, β = 90.00° and γ = 90.00°. The distinct sites, in fractional coordinates, are Rb at (0.0000, 0.0000, 0.0000), Sc at (0.0000, 0.0000, 0.3083) and As at (0.0000, 0.5000, 0.2500).

=====

[3]
The following is a DFT calculation (GGA-PBE) of crystalline RbSc2As2 at its relaxed geometry.

Its calculated formation energy is -272 kJ/mol of formula units. The calculation puts the magnetization at 1.0 μB/f.u. The value obtained for the density of states at the Fermi level is 3.25 states/eV/f.u.

It has space group P4/mbm (No. 127), with a = 8.3123 Å, b = 8.3123 Å, c = 3.5164 Å, α = 90.00°, β = 90.00° and γ = 90.00°. The distinct sites, in fractional coordinates, are Rb at (0.0000, 0.0000, 0.0000), Sc at (0.1291, 0.3709, 0.5000) and As at (0.1472, 0.6472, 0.0000).

=====

[4]
The following is a DFT calculation (GGA-PBE) of crystalline RbScAs2 at its relaxed geometry.

Its calculated formation energy is -203 kJ/mol of formula units. The calculation puts the magnetization at 0.0 μB/f.u. The value obtained for the density of states at the Fermi level is 0.42 states/eV/f.u.

It has space group I-42d (No. 122), with a = 5.8384 Å, b = 5.8384 Å, c = 16.8958 Å, α = 90.00°, β = 90.00° and γ = 90.00°. The distinct sites, in fractional coordinates, are Rb at (0.0000, 0.0000, 0.0000), Sc at (0.0000, 0.0000, 0.5000) and As at (0.0548, 0.2500, 0.6250).

=====

The lowest magnetization belongs to which entry?
RbScAs2